Density functional theory data (PBE) for a relaxed structure of Sc3Ir2Rh.

Lattice parameters (Å, degrees): 3.2194 3.2194 9.7438 90.00 90.00 90.00
Fractional coordinates of all 6 atoms:
Rh  0.5000  0.5000  0.5000
Sc  0.0000  0.0000  0.3338
Sc  0.0000  0.0000  0.6662
Ir  0.5000  0.5000  0.1678
Ir  0.5000  0.5000  0.8322
Sc  0.0000  0.0000  0.0000

Summary:
Its magnetization is 0.00 μB per cell. The calculation puts the energy of formation from the pure elements at -1.021 eV per atom. The total energy comes out at -8.3659 eV/atom.